This record from the Alexandria database describes Th2Zn2Cd3 after structural relaxation. The functional is PBE.

The structure belongs to space group C2/m (No. 12); the cell edges are 10.813, 4.485 and 6.963 Å and the angles 90.00°, 99.80° and 90.00°. The inequivalent atoms are Th at (0.121, 0.000, 0.361), Zn at (0.093, 0.500, 0.660), Cd at (0.000, 0.500, 0.000) and Cd at (0.198, 0.000, 0.865).

The value obtained for the density is 9.30 g cm⁻³. The formation energy comes out at -147 meV per atom. Its energy is -3.02 eV/atom.